A relaxed structure of Na2Ti3CrP6O24, computed with GGA+U.

POSCAR file:
```
Na2Ti3CrP6O24
1.0
4.302 2.484 7.339
-4.302 2.484 7.339
0.000 -4.968 7.339
Na Ti Cr P O
2 3 1 6 24
Cartesian
0.000 0.000 0.000
0.000 0.000 10.997
0.000 0.000 7.787
0.000 0.000 14.194
0.000 0.000 18.819
0.000 0.000 3.165
-1.819 -2.495 9.168
-3.065 0.354 12.809
-1.251 2.823 9.168
1.226 -2.832 12.809
3.071 -0.328 9.168
1.839 2.478 12.809
-2.699 -2.336 10.428
-0.942 -3.756 9.222
-3.725 -1.043 12.729
-1.589 0.142 6.740
-3.306 1.170 11.537
-0.923 -1.240 9.073
-2.782 2.694 9.222
0.671 -1.447 6.740
0.640 -3.448 11.537
-1.536 0.168 12.940
-0.612 1.419 9.073
-0.914 -1.317 15.246
0.917 1.305 6.740
0.622 -1.414 12.940
1.535 -0.180 9.073
-0.674 3.505 10.428
-0.684 1.450 15.246
2.766 -2.705 12.729
0.914 1.246 12.940
3.373 -1.169 10.428
1.598 -0.133 15.246
3.724 1.062 9.222
0.960 3.748 12.729
2.666 2.278 11.537
```

Calculated values
- energy (eV/atom) = -7.561
- DOS(E_F) (states/eV/cell) = 11.93